Entry 1:
! PBE-GGA Dy7Mg2Sc2, optimized geometry; values from VASP
&SYSTEM
  ibrav = 0, nat = 11, ntyp = 3
/
ATOMIC_SPECIES
Dy 162.50 Dy.upf
Mg 24.30 Mg.upf
Sc 44.96 Sc.upf
CELL_PARAMETERS angstrom
4.345 -4.666 0.000
4.345 4.666 0.000
-2.446 0.000 7.931
ATOMIC_POSITIONS angstrom
Dy 0.000 0.000 0.000
Dy 0.545 1.715 6.407
Dy 0.229 0.000 3.318
Dy 0.545 -1.715 6.407
Dy 5.699 1.715 1.524
Dy 6.015 0.000 4.613
Dy 5.699 -1.715 1.524
Mg 2.971 0.000 1.306
Mg 3.273 0.000 6.625
Sc 3.122 1.620 3.966
Sc 3.122 -1.620 3.966
! Total energy = -47.201 eV/cell
! Volume = 29.233 Å³/atom



Entry 2:
! PBE-GGA SrAuC2I, optimized geometry; values from VASP
&SYSTEM
  ibrav = 0, nat = 5, ntyp = 4
/
ATOMIC_SPECIES
Sr 87.62 Sr.upf
Au 196.97 Au.upf
C 12.01 C.upf
I 126.90 I.upf
CELL_PARAMETERS angstrom
4.471 0.000 0.000
0.000 4.471 0.000
0.000 0.000 5.413
ATOMIC_POSITIONS angstrom
Sr 0.000 0.000 0.000
Au 2.235 2.235 0.000
C 0.000 2.235 2.706
C 2.235 0.000 2.706
I 2.235 2.235 2.706
! Total energy = -15.457 eV/cell
! Volume = 21.638 Å³/atom
! Formation energy from raw total energies = 1900 meV/atom



Entry 3:
! PBE-GGA TaZn2SnN4, optimized geometry; values from VASP
&SYSTEM
  ibrav = 0, nat = 8, ntyp = 4
/
ATOMIC_SPECIES
Ta 180.95 Ta.upf
Zn 65.41 Zn.upf
Sn 118.71 Sn.upf
N 14.01 N.upf
CELL_PARAMETERS angstrom
-2.476 2.476 4.561
2.476 -2.476 4.561
2.476 2.476 -4.561
ATOMIC_POSITIONS angstrom
Ta 0.000 0.000 0.000
Zn 2.476 0.000 2.280
Zn 0.000 2.476 2.280
Sn 0.000 0.000 4.561
N 1.336 -1.336 3.427
N 1.140 1.140 1.134
N -1.336 1.336 3.427
N 1.336 1.336 5.695
! Total energy = -53.587 eV/cell
! Volume = 13.980 Å³/atom
! Formation energy from raw total energies = -235 meV/atom



Entry 4:
! PBE-GGA Ba2C, optimized geometry; values from VASP
&SYSTEM
  ibrav = 0, nat = 3, ntyp = 2
/
ATOMIC_SPECIES
Ba 137.33 Ba.upf
C 12.01 C.upf
CELL_PARAMETERS angstrom
4.070 0.000 0.000
-2.035 3.524 0.000
0.000 0.000 7.925
ATOMIC_POSITIONS angstrom
Ba 0.000 0.000 1.618
Ba 0.000 0.000 6.307
C 0.000 2.350 0.000
! Total energy = -10.923 eV/cell
! Volume = 37.891 Å³/atom
! Relative energy among the computed polymorphs = 579 meV/atom